VASP calculation (PBE) on CdAg2Ru after structural relaxation.

extended XYZ file:
```
4
Lattice="-0.755 -2.120 -1.697 2.209 -0.435 1.696 -6.095 -3.470 7.049" Properties=species:S:1:pos:R:3 pbc="T T T"
Ag -6.037 -3.437 6.981
Ag -3.106 -1.768 3.592
Ru -3.845 -3.880 5.286
Cd -0.797 -2.145 1.762
```

## Properties
**Space-group type**: Cmmm (65)
**DOS at the Fermi energy**: 2.9 states/eV/cell
**Calculated formation energy**: 0.360 eV per atom